# AcDyPb (PBE, optimized geometry)
# DFT total energy = -55.13 eV/cell
# Formation energy from the elements = -455 meV per atom
# Calculated volume = 35.1 Å³ per atom
# E above lowest polymorph = 0 kJ/mol of formula units
# Spin magnetization = 0.7 μB per formula unit
data_AcDyPb
_cell_length_a 4.8432
_cell_length_b 4.8432
_cell_length_c 17.9788
_cell_angle_alpha 90.00
_cell_angle_beta 90.00
_cell_angle_gamma 90.00
_space_group_name_H-M_alt 'I 4/m m m'
_space_group_IT_number 139
_space_group_name_Hall '-I 4 2'
loop_
_atom_site_label
_atom_site_fract_x
_atom_site_fract_y
_atom_site_fract_z
Ac1 0.0000 0.0000 0.1765
Dy1 0.0000 0.5000 0.0000
Pb1 0.0000 0.0000 0.3747